[1]
## La4Tb3TmSe8 (GGA-PBE)

Data for a relaxed structure of La4Tb3TmSe8.

```
16
Lattice="-1.7167 4.8674 -6.5399 -7.6095 1.6912 3.2562 6.8272 1.4092 4.5632" Properties=species:S:1:pos:R:3 pbc="T T T"
La -0.8584 2.4337 -3.2699
La 2.5552 3.1383 -0.9883
La 0.0000 0.0000 0.0000
La 3.4136 0.7046 2.2816
Tb -4.6631 3.2793 -1.6419
Tb -1.2495 3.9839 0.6397
Tb -0.3911 1.5502 3.9097
Tm -3.8047 0.8456 1.6281
Se 0.7804 3.8023 5.3088
Se -2.6723 3.0890 3.0005
Se 1.0187 2.4187 1.5327
Se -0.0878 6.2639 2.0013
Se -2.4112 1.7038 -0.7218
Se -3.5178 5.5491 -0.2532
Se 0.1732 4.8788 -1.7210
Se -3.2795 4.1655 -4.0293
```



[2]
## La2TbTm3Se6 (GGA-PBE)

Data for a relaxed structure of La2TbTm3Se6.

```
12
Lattice="4.0652 0.0000 0.0000 0.0000 8.3992 0.1643 -2.0326 -2.5620 8.7001" Properties=species:S:1:pos:R:3 pbc="T T T"
La 2.0326 3.8921 5.9156
La 0.0000 1.9452 2.9488
Tb 2.0326 0.0000 0.0000
Tm 2.0326 4.1996 0.0821
Tm 2.0326 -0.2987 5.7862
Tm 0.0000 6.1360 3.0782
Se 0.0000 6.1368 5.9434
Se 2.0326 4.1866 2.9013
Se 2.0326 -0.2995 2.9210
Se 2.0326 -0.4069 8.6268
Se 0.0000 6.2442 0.2376
Se 0.0000 1.6507 5.9630
```



[3]
## LaTb3Tm2Se6 (GGA-PBE)

Data for a relaxed structure of LaTb3Tm2Se6.

```
12
Lattice="-4.9874 0.8886 -5.0151 -1.8702 -0.6638 6.8467 2.7235 6.5609 0.1429" Properties=species:S:1:pos:R:3 pbc="T T T"
La 0.0000 0.0000 0.0000
Tb -0.9995 2.8613 5.0495
Tb -3.1346 3.9245 -3.0750
Tb -2.0671 3.3929 0.9872
Tm -2.9096 -0.1461 2.8915
Tm -3.9480 0.3710 -1.0599
Se -3.5945 5.3399 -0.6062
Se -4.3588 1.7690 1.3770
Se -0.5397 1.4459 2.5807
Se -2.5059 4.7978 3.5361
Se 0.2246 5.0168 0.5975
Se -1.6283 1.9880 -1.5616
```



[4]
## LaTb2TmSe6 (GGA-PBE)

Data for a relaxed structure of LaTb2TmSe6.

```
10
Lattice="-7.1555 0.3400 -1.4811 -4.1196 -6.0279 0.4506 -4.9905 -0.5876 5.9071" Properties=species:S:1:pos:R:3 pbc="T T T"
La -11.9740 -4.9451 2.5175
Tb -8.0682 -3.2065 2.1091
Tb -4.9453 -0.6360 5.6776
Tm -3.8104 -1.8404 -0.0792
Se -6.4947 -1.2930 0.6682
Se -6.6414 -5.6275 1.5470
Se -10.3307 -3.4824 0.3714
Se -9.5330 -4.6561 4.1744
Se -9.4614 -1.0060 3.4246
Se -6.3292 -2.7682 4.4108
```



[5]
## LaTb2YSe6 (GGA-PBE)

Data for a relaxed structure of LaTb2YSe6.

```
10
Lattice="-4.0222 5.1183 3.3973 -0.8299 -0.2243 7.2924 3.6997 5.3330 4.2834" Properties=species:S:1:pos:R:3 pbc="T T T"
La -1.8311 6.9968 11.0985
Tb -0.8452 4.9267 7.4502
Tb 3.5017 5.1949 4.2570
Y -1.3722 1.8021 3.5962
Se -1.7264 4.3978 4.7780
Se -0.7482 2.2680 8.5078
Se -3.2752 5.8756 8.6296
Se 0.5873 5.8386 9.8222
Se -0.2564 7.6685 6.6462
Se 1.9018 4.5910 6.5275
```



[6]
## LaTbY2Se4 (GGA-PBE)

Data for a relaxed structure of LaTbY2Se4.

```
8
Lattice="4.0960 0.0000 0.0000 0.0000 7.2215 -0.1851 0.0000 2.5015 6.7550" Properties=species:S:1:pos:R:3 pbc="T T T"
La 2.0480 6.1122 6.6624
Tb 0.0000 4.8615 3.2849
Y 0.0000 2.5015 6.7550
Y 2.0480 1.2507 3.3775
Se 0.0001 7.3512 4.8465
Se 4.0960 2.3718 1.7233
Se 2.0480 6.0994 1.5833
Se 2.0480 3.6236 4.9865
```



[7]
## La3TbY2Se6 (GGA-PBE)

Data for a relaxed structure of La3TbY2Se6.

```
12
Lattice="-0.5548 0.7349 7.1743 -5.9366 -0.9087 -4.0311 2.7193 -6.8255 -0.3049" Properties=species:S:1:pos:R:3 pbc="T T T"
La -3.6803 -4.0477 -2.3168
La -0.0917 -2.9517 5.1551
La -1.8860 -3.4997 1.4192
Tb 0.0000 0.0000 0.0000
Y -4.1418 -0.3606 -0.2943
Y -2.3496 0.1868 3.4375
Se -1.9202 -5.0973 4.0123
Se -4.1951 -1.7156 2.2665
Se -1.8519 -1.9020 -1.1739
Se -3.7170 -5.6461 0.2710
Se 0.4230 -5.2838 0.5719
Se -0.0550 -1.3532 2.5673
```



[8]
## La2TbY3Se6 (GGA-PBE)

Data for a relaxed structure of La2TbY3Se6.

```
12
Lattice="4.1335 0.0000 0.0000 0.0000 8.3973 0.2628 -2.0667 -2.4588 8.7486" Properties=species:S:1:pos:R:3 pbc="T T T"
La 2.0667 3.9556 6.0110
La 0.0000 1.9830 3.0004
Tb 2.0667 0.0000 0.0000
Y 2.0667 4.1987 0.1314
Y 2.0667 -0.2338 5.8326
Y 0.0000 6.1723 3.1788
Se 0.0000 6.1583 6.0980
Se 2.0667 4.1836 2.9989
Se 2.0667 -0.2197 2.9135
Se 2.0667 -0.3536 8.7258
Se 0.0000 6.2922 0.2856
Se 0.0000 1.7549 6.0125
```



[9]
## La2TbYSe6 (GGA-PBE)

Data for a relaxed structure of La2TbYSe6.

```
10
Lattice="-1.8740 -6.4147 -3.2944 4.7865 -3.3501 -4.6235 3.4913 -6.5624 2.3658" Properties=species:S:1:pos:R:3 pbc="T T T"
La 3.0364 -7.9463 -3.1049
La 3.3246 -6.3439 2.0351
Tb 1.0911 -3.4134 -2.3996
Y 4.2918 -11.5741 -5.1797
Se 0.7182 -6.2338 -2.2906
Se 5.0313 -6.1145 -4.3836
Se 2.0323 -9.7502 -5.2749
Se 5.1635 -10.1418 -2.8843
Se 1.8326 -9.8000 -0.9812
Se 4.5646 -7.1138 -0.5816
```



[10]
## La4Tb3YSe8 (GGA-PBE)

Data for a relaxed structure of La4Tb3YSe8.

```
16
Lattice="8.3640 0.0000 0.0000 0.0000 8.4501 0.0547 -4.1820 -4.1781 5.9164" Properties=species:S:1:pos:R:3 pbc="T T T"
La 4.1820 0.0000 0.0000
La 2.0910 -2.0890 2.9582
La 0.0000 0.0000 0.0000
La -2.0910 -2.0890 2.9582
Tb 4.1820 4.2251 0.0274
Tb 2.0910 2.1360 2.9856
Tb -2.0910 2.1360 2.9856
Y 0.0000 4.2251 0.0274
Se -2.0963 2.0573 5.8874
Se 0.0000 4.1497 2.9317
Se 0.0000 0.1216 3.0429
Se 2.0963 2.0573 5.8874
Se 2.0857 2.2147 0.0838
Se 4.1820 4.1505 2.9282
Se 4.1820 0.1224 3.0394
Se 6.2783 2.2147 0.0838
```



[11]
## LaTb3Y2Se6 (GGA-PBE)

Data for a relaxed structure of LaTb3Y2Se6.

```
12
Lattice="7.1599 -0.0172 -0.0041 -3.5931 6.1931 -0.0041 -1.1936 -2.0668 6.7478" Properties=species:S:1:pos:R:3 pbc="T T T"
La 0.0000 0.0000 0.0000
Tb -2.4566 4.1586 3.3698
Tb 4.8298 -0.0495 3.3698
Tb 1.1866 2.0546 3.3698
Y -0.0142 4.1261 -0.0041
Y 3.5810 2.0497 -0.0041
Se 3.6092 1.9810 5.0089
Se 2.3383 4.0488 1.6878
Se -1.2360 2.1281 1.7306
Se -0.0878 4.1162 5.0089
Se 0.0348 0.0603 5.0518
Se 2.4610 -0.0071 1.7306
```



[12]
## LaTb2Y3Se6 (GGA-PBE)

Data for a relaxed structure of LaTb2Y3Se6.

```
12
Lattice="7.1516 -0.0164 -0.0037 -3.5882 6.1863 -0.0037 -1.1921 -2.0641 6.7533" Properties=species:S:1:pos:R:3 pbc="T T T"
La 0.0000 0.0000 0.0000
Tb -0.0124 4.1211 -0.0037
Tb 3.5758 2.0488 -0.0037
Y -2.4487 4.1519 3.3729
Y 4.8199 -0.0460 3.3729
Y 1.1856 2.0529 3.3729
Se 3.6034 1.9837 5.0062
Se 2.3382 4.0485 1.7028
Se -1.2322 2.1221 1.7396
Se -0.0826 4.1126 5.0062
Se 0.0331 0.0573 5.0430
Se 2.4539 -0.0067 1.7396
```



[13]
## La2TbZnSe5 (GGA-PBE)

Data for a relaxed structure of La2TbZnSe5.

```
18
Lattice="-3.2656 -1.0289 -2.2398 -2.8357 -1.4687 8.5458 -4.2079 11.9317 0.6543" Properties=species:S:1:pos:R:3 pbc="T T T"
La -8.4760 7.9249 4.9807
La -3.9604 7.7481 2.2150
La -2.5206 3.4582 2.0864
La -5.8343 0.2271 4.6652
Tb -6.5825 4.4880 3.7988
Tb -1.8054 -0.5017 2.8627
Zn -6.0159 10.4287 0.2438
Zn -5.8418 3.3962 6.9572
Se -3.1950 -1.2616 5.2377
Se -6.9172 8.9870 2.2201
Se -7.6173 7.1136 7.8383
Se -5.5202 6.9402 4.8603
Se -8.0851 4.0311 6.1994
Se -5.1056 5.0002 1.4102
Se -4.3052 3.0364 4.8821
Se -2.7802 2.5709 -0.8643
Se -4.2040 0.8350 2.0089
Se -0.4309 0.3183 0.4820
```



[14]
## LaTcSe3 (GGA-PBE)

Data for a relaxed structure of LaTcSe3.

## Properties
ΔE to the lowest computed polymorph: 0.000 eV per atom

```
5
Lattice="-4.2616 0.5214 -2.5181 -2.3832 -2.6315 3.4885 -0.9659 4.1926 2.5027" Properties=species:S:1:pos:R:3 pbc="T T T"
Tc 0.0000 0.0000 0.0000
Se -1.1916 -1.3157 1.7443
Se -0.4829 2.0963 1.2514
Se -2.1308 0.2607 -1.2590
La -3.8053 1.0412 1.7366
```



[15]
## La4TcSe (GGA-PBE)

Data for a relaxed structure of La4TcSe.

```
6
Lattice="2.0805 2.3540 5.3897 -2.4573 5.2714 2.2568 -3.6165 -0.1694 5.0805" Properties=species:S:1:pos:R:3 pbc="T T T"
La -0.4468 3.9746 7.4749
La -3.3145 2.7044 7.3193
La -2.7310 5.4432 5.8979
La -1.4941 2.7897 4.7619
Tc 0.0000 0.0000 0.0000
Se -2.9949 5.5920 9.5452
```



[16]
## LaTcSe3 (GGA-PBE)

Data for a relaxed structure of LaTcSe3.

## Properties
ΔE to the lowest computed polymorph: 1.510 eV per atom

```
5
Lattice="5.6738 0.0000 0.0000 0.0000 5.6738 0.0000 0.0000 0.0000 5.6738" Properties=species:S:1:pos:R:3 pbc="T T T"
Tc 2.8369 2.8369 2.8369
Se 0.0000 2.8369 0.0000
Se 0.0000 0.0000 2.8369
Se 2.8369 0.0000 0.0000
La 0.0000 0.0000 0.0000
```



[17]
## LaTc3Se (GGA-PBE)

Data for a relaxed structure of LaTc3Se.

## Properties
ΔE to the lowest computed polymorph: 1.701 eV per atom

```
5
Lattice="4.8684 0.0000 0.0000 0.0000 4.8684 0.0000 0.0000 0.0000 4.8684" Properties=species:S:1:pos:R:3 pbc="T T T"
Tc 0.0000 2.4342 0.0000
Tc 0.0000 0.0000 2.4342
Tc 2.4342 0.0000 0.0000
Se 2.4342 2.4342 2.4342
La 0.0000 0.0000 0.0000
```



[18]
## LaTcSe (GGA-PBE)

Data for a relaxed structure of LaTcSe.

## Properties
ΔE to the lowest computed polymorph: 1.055 eV per atom

```
3
Lattice="-3.1303 0.3713 -3.8165 -2.1420 -4.0618 -1.8484 -4.8407 -0.7752 0.6849" Properties=species:S:1:pos:R:3 pbc="T T T"
La -7.5848 -3.3492 -3.7350
Se 0.0000 0.0000 0.0000
Tc -5.0565 -2.2328 -2.4900
```



[19]
## LaTcSe (GGA-PBE)

Data for a relaxed structure of LaTcSe.

## Properties
ΔE to the lowest computed polymorph: 0.000 eV per atom

```
3
Lattice="4.3852 0.0000 0.0000 -2.1926 3.7977 0.0000 0.0000 0.0000 4.0195" Properties=species:S:1:pos:R:3 pbc="T T T"
La 0.0000 0.0000 0.0005
Se 2.1926 1.2659 2.0099
Tc 0.0000 2.5318 2.0091
```



[20]
## LaTcSe (GGA-PBE)

Data for a relaxed structure of LaTcSe.

## Properties
ΔE to the lowest computed polymorph: 0.302 eV per atom

```
3
Lattice="4.5872 0.0000 0.0000 2.2936 3.9727 0.0000 2.2936 1.3242 3.7455" Properties=species:S:1:pos:R:3 pbc="T T T"
La 0.0000 0.0000 0.0000
Se 4.5872 2.6484 1.8727
Tc 6.8809 3.9727 2.8091
```



[21]
## LaTcSe (GGA-PBE)

Data for a relaxed structure of LaTcSe.

## Properties
ΔE to the lowest computed polymorph: 0.182 eV per atom

```
3
Lattice="6.2156 -0.0067 0.0072 5.3452 3.1723 0.0028 0.8705 0.2428 3.1697" Properties=species:S:1:pos:R:3 pbc="T T T"
La 11.5000 3.1490 0.0281
Se 8.3831 2.2968 0.9492
Tc 4.1090 1.1282 2.2125
```



[22]
## LaTc4Se (GGA-PBE)

Data for a relaxed structure of LaTc4Se.

```
6
Lattice="0.0000 3.8049 3.8049 3.8049 0.0000 3.8049 3.8049 3.8049 0.0000" Properties=species:S:1:pos:R:3 pbc="T T T"
La 5.7073 5.7073 5.7073
Tc 4.7684 2.8413 4.7684
Tc 2.8413 4.7684 4.7684
Tc 4.7684 4.7684 2.8413
Tc 2.8413 2.8413 2.8413
Se 0.0000 0.0000 0.0000
```



[23]
## LaTc3Se (GGA-PBE)

Data for a relaxed structure of LaTc3Se.

## Properties
ΔE to the lowest computed polymorph: 0.000 eV per atom

```
5
Lattice="-2.6936 -3.4079 -1.7063 3.7016 -1.8419 -2.1647 0.9073 -2.6027 3.7660" Properties=species:S:1:pos:R:3 pbc="T T T"
Tc 1.8508 -0.9210 -1.0823
Tc 0.4536 -1.3014 1.8830
Tc -1.3468 -1.7039 -0.8531
Se 0.0000 0.0000 0.0000
La 0.9576 -3.9262 -0.0525
```



[24]
## La2ZrTcSe (GGA-PBE)

Data for a relaxed structure of La2ZrTcSe.

```
5
Lattice="5.5639 0.0000 0.0000 0.0000 4.9256 0.0000 0.0000 0.0000 5.5639" Properties=species:S:1:pos:R:3 pbc="T T T"
Se 0.0000 0.0000 0.0000
Tc 2.7820 2.4628 2.7820
Zr 0.0000 2.4628 0.0000
La 0.0000 0.0000 2.7820
La 2.7820 0.0000 0.0000
```



Record order is preserved below.
E: -6.00, -5.86, -5.82, -5.83, -6.04, -6.37, -6.33, -6.41, -6.11, -6.14, -6.19, -6.35, -5.38, -5.84, -5.07, -4.33, -5.70, -5.73, -6.78, -6.48, -6.60, -7.94, -7.40, -6.14 eV per atom
Record order is preserved below.
Uncorrected formation energy: -1.88, -1.80, -1.77, -1.88, -1.89, -1.82, -1.89, -1.84, -1.92, -1.89, -1.81, -1.81, -1.69, -0.69, 0.52, 0.82, 2.20, 0.53, -0.52, -0.22, -0.34, 0.37, 0.50, 0.31 eV/atom